Entry 1:
VASP calculation (PBE-GGA) on an optimized crystal structure of SmCd20Ni2.

Cell lengths 11.020, 11.020, 11.020 Å; angles 60.00, 60.00, 60.00 degrees
Element x y z (fractional)
Cd (0.387, 0.113, 0.113)
Cd (0.113, 0.387, 0.113)
Cd (0.387, 0.387, 0.113)
Cd (0.625, 0.625, 0.125)
Cd (0.863, 0.137, 0.137)
Cd (0.137, 0.863, 0.137)
Cd (0.863, 0.863, 0.137)
Cd (0.569, 0.301, 0.301)
Cd (0.829, 0.301, 0.301)
Cd (0.301, 0.569, 0.301)
Cd (0.829, 0.569, 0.301)
Cd (0.301, 0.829, 0.301)
Cd (0.569, 0.829, 0.301)
Cd (0.113, 0.113, 0.387)
Cd (0.387, 0.113, 0.387)
Cd (0.113, 0.387, 0.387)
Cd (0.949, 0.681, 0.421)
Cd (0.681, 0.949, 0.421)
Cd (0.949, 0.949, 0.421)
Cd (0.301, 0.301, 0.569)
Cd (0.829, 0.301, 0.569)
Cd (0.301, 0.829, 0.569)
Cd (0.625, 0.125, 0.625)
Cd (0.125, 0.625, 0.625)
Cd (0.625, 0.625, 0.625)
Cd (0.949, 0.421, 0.681)
Cd (0.421, 0.949, 0.681)
Cd (0.949, 0.949, 0.681)
Cd (0.301, 0.301, 0.829)
Cd (0.569, 0.301, 0.829)
Cd (0.301, 0.569, 0.829)
Cd (0.137, 0.137, 0.863)
Cd (0.863, 0.137, 0.863)
Cd (0.137, 0.863, 0.863)
Cd (0.681, 0.421, 0.949)
Cd (0.949, 0.421, 0.949)
Cd (0.421, 0.681, 0.949)
Cd (0.949, 0.681, 0.949)
Cd (0.421, 0.949, 0.949)
Cd (0.681, 0.949, 0.949)
Ni (0.125, 0.125, 0.125)
Ni (0.625, 0.125, 0.125)
Ni (0.125, 0.625, 0.125)
Ni (0.125, 0.125, 0.625)
Sm (0.500, 0.500, 0.500)
Sm (0.750, 0.750, 0.750)

Properties
Symmetry   No. 227
ΔE_f   -2.4 eV/f.u.
Crystal system   cubic

Entry 2:
VASP calculation (PBE-GGA) on an optimized crystal structure of Sm4Cd3Ni2.

Cell lengths 7.538, 3.698, 8.234 Å; angles 90.00, 108.00, 90.00 degrees
Element x y z (fractional)
Cd (0.300, 0.000, 0.005)
Cd (0.000, 0.000, 0.500)
Cd (0.700, 0.000, 0.995)
Ni (0.345, 0.000, 0.392)
Ni (0.655, 0.000, 0.608)
Sm (0.086, 0.500, 0.218)
Sm (0.607, 0.500, 0.313)
Sm (0.393, 0.500, 0.687)
Sm (0.914, 0.500, 0.782)

Properties
Symmetry   No. 10
ΔE_f   -3.5 eV/f.u.
Crystal system   monoclinic

Entry 3:
VASP calculation (PBE-GGA) on an optimized crystal structure of Cd2Ni3Sn2.

Cell lengths 7.537, 7.537, 7.537 Å; angles 33.94, 33.94, 33.94 degrees
Element x y z (fractional)
Cd (0.245, 0.245, 0.245)
Cd (0.754, 0.754, 0.754)
Ni (0.372, 0.372, 0.372)
Ni (0.626, 0.626, 0.626)
Ni (0.878, 0.878, 0.878)
Sn (0.003, 0.003, 0.003)
Sn (0.498, 0.498, 0.498)

Properties
Symmetry   No. 160
E_tot   -27.29 eV for the cell shown
Crystal system   trigonal

Entry 4:
VASP calculation (PBE-GGA) on an optimized crystal structure of CdNi2Sn.

Cell lengths 4.471, 4.471, 4.471 Å; angles 60.00, 60.00, 60.00 degrees
Element x y z (fractional)
Cd (0.250, 0.250, 0.250)
Ni (0.000, 0.000, 0.000)
Ni (0.750, 0.750, 0.750)
Sn (0.500, 0.500, 0.500)

Properties
Symmetry   No. 216
E_tot   -15.29 eV for the cell shown
Crystal system   cubic

| no. | mass density (g/cm3) |
| --- | --- |
| 1 | 8.8 |
| 2 | 8.0 |
| 3 | 8.9 |
| 4 | 9.2 |